This record from Alexandria via LeMat-Bulk describes a geometry-optimized RuRhPb3 structure. The functional is PBEsol.

```
RuRhPb3
1.0
5.0982 0.0000 0.0000
0.0000 5.0982 0.0000
0.0000 0.0000 5.0982
Pb Ru Rh
3 1 1
Cartesian
0.0000 0.0000 2.5491 Pb
2.5491 0.0000 0.0000 Pb
0.0000 2.5491 0.0000 Pb
2.5491 2.5491 2.5491 Ru
0.0000 0.0000 0.0000 Rh
```

## Properties
Its symmetry is Pm-3m. As for the calculated formation energy: 1.042 eV per atom.

=====

This record from Alexandria via LeMat-Bulk describes a geometry-optimized CaRhPb2 structure. The functional is PBEsol.

```
CaRhPb2
1.0
4.4932 0.0000 0.0000
0.0000 4.4315 0.0000
0.0000 0.0000 4.4981
Pb Rh Ca
2 1 1
Cartesian
2.2466 0.0000 2.2491 Pb
0.0000 0.0000 0.0000 Pb
2.2466 2.2157 0.0000 Rh
0.0000 2.2157 2.2491 Ca
```

## Properties
Its symmetry is P4/mmm. As for the calculated formation energy: -0.124 eV per atom.